Record 1
A relaxed Ac5PrEr crystal, computed with GGA-PBE.

a b c (Å): 8.664 8.664 8.664
angles (deg): 138.20 111.55 83.53
Fractional coordinates of all 7 atoms:
Ac 0.000 0.000 0.000
Ac 0.249 0.749 0.500
Ac 0.315 0.500 0.815
Ac 0.685 0.500 0.185
Ac 0.751 0.251 0.500
Pr 0.500 0.000 0.500
Er 0.000 0.500 0.500

Record 2
A relaxed AcPr8Er2 crystal, computed with GGA-PBE.

a b c (Å): 9.654 9.654 9.654
angles (deg): 145.74 126.76 64.85
Fractional coordinates of all 11 atoms:
Ac 0.000 0.000 0.000
Pr 0.153 0.855 0.298
Pr 0.161 0.661 0.500
Pr 0.298 0.500 0.798
Pr 0.444 0.145 0.298
Pr 0.556 0.855 0.702
Pr 0.702 0.500 0.202
Pr 0.839 0.339 0.500
Pr 0.847 0.145 0.702
Er 0.299 0.299 0.000
Er 0.701 0.701 0.000

Record 3
A relaxed Ac5Pr4Er4 crystal, computed with GGA-PBE.

a b c (Å): 9.975 9.975 9.975
angles (deg): 94.04 94.04 149.22
Fractional coordinates of all 13 atoms:
Ac 0.000 0.000 0.000
Ac 0.303 0.541 0.844
Ac 0.459 0.303 0.762
Ac 0.541 0.697 0.238
Ac 0.697 0.459 0.156
Pr 0.076 0.385 0.461
Pr 0.385 0.924 0.309
Pr 0.615 0.076 0.691
Pr 0.924 0.615 0.539
Er 0.157 0.765 0.922
Er 0.235 0.157 0.392
Er 0.765 0.843 0.608
Er 0.843 0.235 0.078

Record 4
A relaxed AcPr4Er7 crystal, computed with GGA-PBE.

a b c (Å): 6.875 7.109 8.805
angles (deg): 78.99 77.80 76.67
Fractional coordinates of all 12 atoms:
Ac 0.000 0.000 0.000
Pr 0.185 0.599 0.334
Pr 0.350 0.232 0.680
Pr 0.650 0.768 0.320
Pr 0.815 0.401 0.666
Er 0.000 0.500 0.000
Er 0.181 0.104 0.364
Er 0.323 0.733 0.673
Er 0.477 0.256 0.024
Er 0.523 0.744 0.976
Er 0.677 0.267 0.327
Er 0.819 0.896 0.636

Record 5
A relaxed Ac3Pr6Er crystal, computed with GGA-PBE.

a b c (Å): 7.349 7.349 7.349
angles (deg): 88.58 88.58 88.58
Fractional coordinates of all 10 atoms:
Ac 0.000 0.000 0.000
Ac 0.258 0.258 0.258
Ac 0.742 0.742 0.742
Pr 0.095 0.423 0.749
Pr 0.251 0.905 0.577
Pr 0.423 0.749 0.095
Pr 0.577 0.251 0.905
Pr 0.749 0.095 0.423
Pr 0.905 0.577 0.251
Er 0.500 0.500 0.500

Record 6
A relaxed Ac2Pr5Er2 crystal, computed with GGA-PBE.

a b c (Å): 8.359 8.359 8.347
angles (deg): 107.60 107.60 36.67
Fractional coordinates of all 9 atoms:
Ac 0.111 0.111 0.168
Ac 0.889 0.889 0.832
Pr 0.000 0.000 0.500
Pr 0.219 0.219 0.833
Pr 0.335 0.335 0.495
Pr 0.665 0.665 0.505
Pr 0.781 0.781 0.167
Er 0.443 0.443 0.169
Er 0.557 0.557 0.831

Record 7
A relaxed Ac4PrEr crystal, computed with GGA-PBE.

a b c (Å): 7.157 7.157 7.157
angles (deg): 60.00 60.00 60.00
Fractional coordinates of all 6 atoms:
Ac 0.124 0.124 0.124
Ac 0.124 0.124 0.627
Ac 0.124 0.627 0.124
Ac 0.627 0.124 0.124
Pr 0.500 0.500 0.500
Er 0.750 0.750 0.750

Record 8
A relaxed AcPr8Er2 crystal, computed with GGA-PBE.

a b c (Å): 9.718 9.718 6.119
angles (deg): 105.99 105.99 122.39
Fractional coordinates of all 11 atoms:
Ac 0.000 0.000 0.000
Pr 0.097 0.342 0.688
Pr 0.209 0.791 0.000
Pr 0.342 0.097 0.688
Pr 0.431 0.431 0.207
Pr 0.569 0.569 0.793
Pr 0.658 0.903 0.312
Pr 0.791 0.209 0.000
Pr 0.903 0.658 0.312
Er 0.312 0.688 0.500
Er 0.688 0.312 0.500

Record 9
A relaxed AcPr4Er2 crystal, computed with GGA-PBE.

a b c (Å): 6.943 6.943 6.448
angles (deg): 97.75 97.75 56.61
Fractional coordinates of all 7 atoms:
Ac 0.000 0.000 0.000
Pr 0.000 0.500 0.000
Pr 0.163 0.163 0.507
Pr 0.500 0.000 0.000
Pr 0.837 0.837 0.493
Er 0.461 0.461 0.736
Er 0.539 0.539 0.264

Record 10
A relaxed Ac3Pr6Er2 crystal, computed with GGA-PBE.

a b c (Å): 33.609 33.609 33.609
angles (deg): 6.42 6.42 6.42
Fractional coordinates of all 11 atoms:
Ac 0.000 0.000 0.000
Ac 0.271 0.271 0.271
Ac 0.729 0.729 0.729
Pr 0.094 0.094 0.094
Pr 0.182 0.182 0.182
Pr 0.365 0.365 0.365
Pr 0.635 0.635 0.635
Pr 0.818 0.818 0.818
Pr 0.906 0.906 0.906
Er 0.456 0.456 0.456
Er 0.544 0.544 0.544

Record 11
A relaxed Ac6PrEr crystal, computed with GGA-PBE.

a b c (Å): 5.508 5.508 11.026
angles (deg): 90.00 90.00 90.00
Fractional coordinates of all 8 atoms:
Ac 0.000 0.000 0.000
Ac 0.000 0.000 0.500
Ac 0.000 0.500 0.247
Ac 0.000 0.500 0.753
Ac 0.500 0.000 0.247
Ac 0.500 0.000 0.753
Pr 0.500 0.500 0.500
Er 0.500 0.500 0.000

Record 12
A relaxed Ac2Pr3Er4 crystal, computed with GGA-PBE.

a b c (Å): 6.347 6.397 8.244
angles (deg): 82.36 75.15 80.50
Fractional coordinates of all 9 atoms:
Ac 0.172 0.330 0.330
Ac 0.828 0.670 0.670
Pr 0.062 0.110 0.781
Pr 0.500 0.000 0.000
Pr 0.938 0.890 0.219
Er 0.277 0.552 0.888
Er 0.393 0.773 0.446
Er 0.607 0.227 0.554
Er 0.723 0.448 0.112

Record 13
A relaxed AcPr7Er3 crystal, computed with GGA-PBE.

a b c (Å): 7.337 7.337 8.744
angles (deg): 90.00 90.00 120.00
Fractional coordinates of all 11 atoms:
Ac 0.000 0.000 0.000
Pr 0.333 0.667 0.315
Pr 0.336 0.168 0.339
Pr 0.500 0.001 0.978
Pr 0.500 0.500 0.978
Pr 0.832 0.168 0.339
Pr 0.832 0.664 0.339
Pr 0.999 0.500 0.978
Er 0.168 0.336 0.655
Er 0.168 0.832 0.655
Er 0.664 0.832 0.655

Record 14
A relaxed Ac8PrEr2 crystal, computed with GGA-PBE.

a b c (Å): 9.123 9.123 6.213
angles (deg): 99.56 99.56 84.61
Fractional coordinates of all 11 atoms:
Ac 0.080 0.080 0.293
Ac 0.134 0.643 0.189
Ac 0.356 0.356 0.493
Ac 0.357 0.866 0.811
Ac 0.643 0.134 0.189
Ac 0.644 0.644 0.507
Ac 0.866 0.357 0.811
Ac 0.920 0.920 0.707
Pr 0.500 0.500 0.000
Er 0.238 0.238 0.921
Er 0.762 0.762 0.079

Record 15
A relaxed AcPr5Er crystal, computed with GGA-PBE.

a b c (Å): 6.816 6.816 11.911
angles (deg): 102.36 102.36 97.19
Fractional coordinates of all 14 atoms:
Ac 0.000 0.500 0.000
Ac 0.500 0.000 0.500
Pr 0.066 0.277 0.534
Pr 0.082 0.918 0.250
Pr 0.277 0.066 0.034
Pr 0.303 0.445 0.331
Pr 0.445 0.303 0.831
Pr 0.555 0.697 0.169
Pr 0.697 0.555 0.669
Pr 0.723 0.934 0.966
Pr 0.918 0.082 0.750
Pr 0.934 0.723 0.466
Er 0.257 0.743 0.750
Er 0.743 0.257 0.250

Record 16
A relaxed AcPrEr14 crystal, computed with GGA-PBE.

a b c (Å): 11.271 7.238 7.238
angles (deg): 60.20 90.00 90.00
Fractional coordinates of all 16 atoms:
Ac 0.000 0.000 0.000
Pr 0.000 0.500 0.500
Er 0.000 0.003 0.502
Er 0.000 0.502 0.003
Er 0.252 0.669 0.669
Er 0.255 0.170 0.170
Er 0.258 0.169 0.666
Er 0.258 0.666 0.169
Er 0.500 0.001 0.502
Er 0.500 0.002 0.002
Er 0.500 0.502 0.001
Er 0.500 0.502 0.502
Er 0.742 0.169 0.666
Er 0.742 0.666 0.169
Er 0.745 0.170 0.170
Er 0.748 0.669 0.669

Record 17
A relaxed AcPr2Er crystal, computed with GGA-PBE.

a b c (Å): 5.945 5.945 5.945
angles (deg): 60.00 60.00 60.00
Fractional coordinates of all 4 atoms:
Ac 0.000 0.000 0.000
Pr 0.250 0.250 0.250
Pr 0.750 0.750 0.750
Er 0.500 0.500 0.500

Record 18
A relaxed AcPr2Er crystal, computed with GGA-PBE.

a b c (Å): 13.144 13.144 13.144
angles (deg): 15.98 15.98 15.98
Fractional coordinates of all 4 atoms:
Ac 0.000 0.000 0.000
Pr 0.093 0.093 0.093
Pr 0.907 0.907 0.907
Er 0.500 0.500 0.500

Record 19
A relaxed Ac4Pr6Er crystal, computed with GGA-PBE.

a b c (Å): 9.882 9.882 9.882
angles (deg): 137.26 137.26 62.04
Fractional coordinates of all 11 atoms:
Ac 0.014 0.627 0.000
Ac 0.373 0.373 0.387
Ac 0.627 0.014 0.000
Ac 0.986 0.986 0.613
Pr 0.000 0.500 0.500
Pr 0.225 0.225 0.658
Pr 0.432 0.775 0.000
Pr 0.500 0.000 0.500
Pr 0.568 0.568 0.342
Pr 0.775 0.432 0.000
Er 0.000 0.000 0.000

Record 20
A relaxed Ac7Pr12Er crystal, computed with GGA-PBE.

a b c (Å): 10.597 10.597 10.597
angles (deg): 109.47 109.47 109.47
Fractional coordinates of all 20 atoms:
Ac 0.000 0.000 0.500
Ac 0.000 0.500 0.000
Ac 0.000 0.500 0.500
Ac 0.500 0.000 0.000
Ac 0.500 0.000 0.500
Ac 0.500 0.500 0.000
Ac 0.500 0.500 0.500
Pr 0.082 0.759 0.323
Pr 0.241 0.323 0.564
Pr 0.241 0.677 0.918
Pr 0.323 0.082 0.759
Pr 0.323 0.564 0.241
Pr 0.436 0.759 0.677
Pr 0.564 0.241 0.323
Pr 0.677 0.436 0.759
Pr 0.677 0.918 0.241
Pr 0.759 0.323 0.082
Pr 0.759 0.677 0.436
Pr 0.918 0.241 0.677
Er 0.000 0.000 0.000

| no. | M_tot (μB per cell) | ΔH_f (0 K) (meV/atom) |
| --- | --- | --- |
| 1 | 0.00 | 849 |
| 2 | 0.00 | 115 |
| 3 | 0.00 | 54 |
| 4 | 0.00 | 78 |
| 5 | 0.00 | 322 |
| 6 | 0.00 | 36 |
| 7 | 0.00 | 355 |
| 8 | 0.00 | 133 |
| 9 | 0.00 | 234 |
| 10 | 0.00 | 41 |
| 11 | 0.00 | 29 |
| 12 | 0.00 | 45 |
| 13 | 0.00 | 199 |
| 14 | 0.00 | 360 |
| 15 | 0.00 | 87 |
| 16 | 0.00 | 19 |
| 17 | 0.88 | 163 |
| 18 | 0.00 | 161 |
| 19 | 0.00 | 239 |
| 20 | 0.00 | 791 |